# PBE Mo2AsPdPb, relaxed
data_Mo2AsPdPb
_chemical_formula_sum 'Mo2 As1 Pd1 Pb1'
_cell_length_a 5.018
_cell_length_b 5.018
_cell_length_c 5.013
_cell_angle_alpha 90.00
_cell_angle_beta 90.00
_cell_angle_gamma 90.00
_symmetry_space_group_name_H-M 'P 4/m m m'
_symmetry_Int_Tables_number 123
_symmetry_space_group_name_Hall '-P 4 2'
loop_
_atom_site_label
_atom_site_type_symbol
_atom_site_fract_x
_atom_site_fract_y
_atom_site_fract_z
Mo1 Mo 0.000 0.500 0.000
As1 As 0.000 0.000 0.500
Pd1 Pd 0.500 0.500 0.000
Pb1 Pb 0.500 0.500 0.500
# E_form: 1.56 eV/atom
# Magnetization: 5.86 μB/cell
# VASP energy: -27.429 eV/cell